[1]
The following is a DFT calculation (PBE) of an optimized crystal structure of Pu2Al4Zn3Ga.

Cell and atoms, written as extended XYZ:
```
10
Lattice="4.176 0.000 0.000 0.000 4.176 0.000 0.000 0.000 10.878" Properties=species:S:1:pos:R:3 pbc="T T T"
Pu 0.000 2.088 2.699
Pu 2.088 0.000 8.179
Al 0.000 0.000 5.439
Al 0.000 2.088 9.362
Al 2.088 0.000 1.516
Al 2.088 2.088 5.439
Zn 0.000 0.000 0.000
Zn 0.000 2.088 6.936
Zn 2.088 0.000 3.942
Ga 2.088 2.088 0.000
```

* space-group type: P-4m2 (115)



[2]
The following is a DFT calculation (PBE) of an optimized crystal structure of PuAlZnGa2.

Cell and atoms, written as extended XYZ:
```
5
Lattice="-2.078 2.078 5.493 2.078 -2.078 5.493 2.078 2.078 -5.493" Properties=species:S:1:pos:R:3 pbc="T T T"
Pu 0.000 0.000 0.000
Al 2.078 0.000 2.746
Zn 0.000 2.078 2.746
Ga 0.000 0.000 4.268
Ga 0.000 0.000 6.717
```

* space-group type: I-4m2 (119)



[3]
The following is a DFT calculation (PBE) of an optimized crystal structure of RbAl6Ga12.

Cell and atoms, written as extended XYZ:
```
19
Lattice="5.894 3.403 3.198 -5.894 3.403 3.198 0.000 -6.806 3.198" Properties=species:S:1:pos:R:3 pbc="T T T"
Rb 0.000 0.000 0.000
Al -2.491 -1.438 5.451
Al 0.000 -2.876 4.143
Al -2.491 1.438 4.143
Al 2.491 -1.438 5.451
Al 0.000 2.876 5.451
Al 2.491 1.438 4.143
Ga -2.310 -4.001 4.797
Ga -4.620 0.000 4.797
Ga -1.498 -0.865 2.959
Ga 1.498 -0.865 2.959
Ga 0.000 1.730 2.959
Ga 2.310 -4.001 4.797
Ga -2.310 4.001 4.797
Ga 0.000 -1.730 6.635
Ga -1.498 0.865 6.635
Ga 1.498 0.865 6.635
Ga 4.620 0.000 4.797
Ga 2.310 4.001 4.797
```

* space-group type: R-3m (166)



[4]
The following is a DFT calculation (PBE) of an optimized crystal structure of RbAl4Ga2.

Cell and atoms, written as extended XYZ:
```
7
Lattice="2.129 -8.852 0.000 2.129 8.852 0.000 0.000 0.000 4.273" Properties=species:S:1:pos:R:3 pbc="T T T"
Rb 0.000 0.000 0.000
Al 2.129 5.381 2.136
Al 2.129 3.481 0.000
Al 2.129 -3.481 0.000
Al 2.129 -5.381 2.136
Ga 2.129 1.896 2.136
Ga 2.129 -1.896 2.136
```

* space-group type: Cmmm (65)



[5]
The following is a DFT calculation (PBE) of an optimized crystal structure of RbAl3Ga.

Cell and atoms, written as extended XYZ:
```
5
Lattice="5.995 0.000 0.000 0.000 5.995 0.000 0.000 0.000 5.995" Properties=species:S:1:pos:R:3 pbc="T T T"
Rb 0.000 0.000 0.000
Al 0.000 0.000 2.997
Al 0.000 2.997 0.000
Al 2.997 0.000 0.000
Ga 2.997 2.997 2.997
```

* polymorph energy (0 for the lowest one): 1154 meV per atom
* space-group type: Pm-3m (221)



[6]
The following is a DFT calculation (PBE) of an optimized crystal structure of Rb5AlGa6.

Cell and atoms, written as extended XYZ:
```
12
Lattice="3.885 -8.198 0.000 3.885 8.198 0.000 -3.572 0.000 7.209" Properties=species:S:1:pos:R:3 pbc="T T T"
Rb 0.000 0.000 0.000
Rb 3.885 3.843 0.000
Rb 2.099 2.331 3.604
Rb 2.099 -2.331 3.604
Rb 3.885 -3.843 0.000
Al -1.786 0.000 3.604
Ga 1.855 5.992 2.341
Ga 2.343 5.992 4.868
Ga -0.171 0.000 5.922
Ga 4.369 0.000 1.287
Ga 1.855 -5.992 2.341
Ga 2.343 -5.992 4.868
```

* space-group type: C2/m (12)



[7]
The following is a DFT calculation (PBE) of an optimized crystal structure of Rb2AlGa2.

Cell and atoms, written as extended XYZ:
```
10
Lattice="7.124 0.000 0.000 0.000 7.124 0.000 0.000 0.000 6.109" Properties=species:S:1:pos:R:3 pbc="T T T"
Rb 1.313 2.250 0.000
Rb 2.250 5.812 0.000
Rb 4.875 1.313 0.000
Rb 5.812 4.875 0.000
Al 0.000 0.000 3.055
Al 3.562 3.562 3.055
Ga 0.934 4.496 3.055
Ga 2.628 0.934 3.055
Ga 4.496 6.190 3.055
Ga 6.190 2.628 3.055
```

* space-group type: P4/mbm (127)



[8]
The following is a DFT calculation (PBE) of an optimized crystal structure of Rb3AlGa.

Cell and atoms, written as extended XYZ:
```
5
Lattice="6.770 0.000 0.000 0.000 6.770 0.000 0.000 0.000 6.770" Properties=species:S:1:pos:R:3 pbc="T T T"
Rb 0.000 0.000 3.385
Rb 0.000 3.385 0.000
Rb 3.385 0.000 0.000
Al 3.385 3.385 3.385
Ga 0.000 0.000 0.000
```

* polymorph energy (0 for the lowest one): 0 meV per atom
* space-group type: Pm-3m (221)



[9]
The following is a DFT calculation (PBE) of an optimized crystal structure of RbAl4Ga3.

Cell and atoms, written as extended XYZ:
```
8
Lattice="4.563 0.000 0.000 0.000 4.563 0.000 0.000 0.000 8.307" Properties=species:S:1:pos:R:3 pbc="T T T"
Rb 0.000 0.000 0.000
Al 0.000 2.281 2.724
Al 0.000 2.281 5.584
Al 2.281 0.000 2.724
Al 2.281 0.000 5.584
Ga 0.000 0.000 4.154
Ga 2.281 2.281 1.329
Ga 2.281 2.281 6.978
```

* space-group type: P4/mmm (123)



[10]
The following is a DFT calculation (PBE) of an optimized crystal structure of RbAl2Ga4.

Cell and atoms, written as extended XYZ:
```
7
Lattice="-1.704 2.093 11.425 1.704 -2.093 11.425 1.704 2.093 -11.425" Properties=species:S:1:pos:R:3 pbc="T T T"
Rb 0.000 0.000 0.000
Al 1.704 0.000 6.686
Al 0.000 2.093 4.739
Ga 1.704 0.000 4.059
Ga 0.000 0.000 8.988
Ga 0.000 0.000 13.862
Ga 0.000 2.093 7.367
```

* space-group type: Immm (71)



[11]
The following is a DFT calculation (PBE) of an optimized crystal structure of Rb2AlGa10.

Cell and atoms, written as extended XYZ:
```
26
Lattice="7.782 0.000 0.000 0.000 15.435 0.000 0.000 0.000 6.123" Properties=species:S:1:pos:R:3 pbc="T T T"
Rb 1.179 2.123 0.000
Rb 2.712 9.841 0.000
Rb 5.070 5.594 0.000
Rb 6.603 13.312 0.000
Al 0.000 7.718 3.062
Al 3.891 0.000 3.062
Ga 0.321 10.329 3.062
Ga 1.117 14.915 3.062
Ga 1.218 6.186 1.222
Ga 1.218 6.186 4.901
Ga 1.668 12.304 3.062
Ga 2.223 4.586 3.062
Ga 2.674 13.904 1.222
Ga 2.674 13.904 4.901
Ga 2.775 7.197 3.062
Ga 3.570 2.611 3.062
Ga 4.212 12.824 3.062
Ga 5.008 8.238 3.062
Ga 5.109 1.531 1.222
Ga 5.109 1.531 4.901
Ga 5.559 10.849 3.062
Ga 6.114 3.132 3.062
Ga 6.565 9.249 1.222
Ga 6.565 9.249 4.901
Ga 6.666 0.520 3.062
Ga 7.461 5.106 3.062
```

* space-group type: Pbam (55)



[12]
The following is a DFT calculation (PBE) of an optimized crystal structure of RbAlGa3.

Cell and atoms, written as extended XYZ:
```
5
Lattice="5.918 0.000 0.000 0.000 5.918 0.000 0.000 0.000 5.918" Properties=species:S:1:pos:R:3 pbc="T T T"
Rb 0.000 0.000 0.000
Al 2.959 2.959 2.959
Ga 0.000 0.000 2.959
Ga 0.000 2.959 0.000
Ga 2.959 0.000 0.000
```

* polymorph energy (0 for the lowest one): 1131 meV per atom
* space-group type: Pm-3m (221)



no.,calculated formation energy (eV/atom),magnetic moment (Bohr magnetons per cell),E_tot (eV per atom)
1,-0.222,11.15,-5.27
2,-0.296,5.74,-5.38
3,0.026,0.00,-3.12
4,0.004,0.00,-3.14
5,1.656,0.00,-1.39
6,-0.028,0.00,-2.26
7,0.153,0.00,-2.19
8,0.589,0.00,-1.35
9,-0.016,0.00,-3.14
10,0.007,0.00,-2.93
11,-0.026,0.00,-2.79
12,1.334,0.00,-1.42